#w
Below is an optimized crystal structure of CdCu2Sb, with properties calculated at the GGA-PBE level.

Cell: 4.2712 4.2712 3.9279 Å, 90.00 90.00 90.00°
Space group P4/mmm (No. 123)
Asymmetric unit:
Cd 0.0000 0.0000 0.0000 [1 per cell]
Cu 0.0000 0.5000 0.5000 [2 per cell]
Sb 0.5000 0.5000 0.0000 [1 per cell]



#x
Below is an optimized crystal structure of CdCu2Sb, with properties calculated at the GGA-PBE level.

Cell: 3.5527 4.0504 5.3366 Å, 90.00 109.21 90.00°
Space group Pm (No. 6)
Asymmetric unit:
Cd 0.0000 0.0000 0.0000 [1 per cell]
Cu 0.5687 0.5000 0.1392 [1 per cell]
Cu 0.7192 0.0000 0.4432 [1 per cell]
Sb 0.2878 0.5000 0.5862 [1 per cell]



#y
Below is an optimized crystal structure of CdCu2Sb, with properties calculated at the GGA-PBE level.

Cell: 3.2069 3.2069 25.7757 Å, 90.00 90.00 120.00°
Space group R3m (No. 160, hexagonal axes)
Asymmetric unit:
Cd 0.0000 0.0000 0.0000 [3 per cell]
Cu 0.0000 0.0000 0.2525 [3 per cell]
Cu 0.0000 0.0000 0.5200 [3 per cell]
Sb 0.0000 0.0000 0.7756 [3 per cell]



#z
Below is an optimized crystal structure of CdCu2Sb, with properties calculated at the GGA-PBE level.

Cell: 8.3465 3.2690 5.7291 Å, 90.00 100.77 90.00°
Space group Cm (No. 8)
Asymmetric unit:
Cd 0.0000 0.0000 0.0000 [2 per cell]
Cu 0.2465 0.5000 0.2495 [2 per cell]
Cu 0.4772 0.0000 0.3939 [2 per cell]
Sb 0.2229 0.0000 0.6281 [2 per cell]



The structure with the greatest stability is #x.



#w
Below is an optimized crystal structure of CdCu2Sb, with properties calculated at the GGA-PBE level.

Cell: 4.5332 3.2265 5.5233 Å, 90.00 113.74 90.00°
Space group P2/m (No. 10)
Asymmetric unit:
Cd 0.0000 0.0000 0.0000 [1 per cell]
Cu 0.0000 0.0000 0.5000 [1 per cell]
Cu 0.5000 0.5000 0.0000 [1 per cell]
Sb 0.5000 0.5000 0.5000 [1 per cell]



#x
Below is an optimized crystal structure of CdCu2Sb, with properties calculated at the GGA-PBE level.

Cell: 6.6874 6.6874 6.6874 Å, 90.00 90.00 90.00°
Space group F-43m (No. 216)
Asymmetric unit:
Cd 0.0000 0.0000 0.0000 [4 per cell]
Cu 0.0000 0.0000 0.5000 [4 per cell]
Cu 0.2500 0.2500 0.2500 [4 per cell]
Sb 0.2500 0.2500 0.7500 [4 per cell]



#y
Below is an optimized crystal structure of CdCu2Sb, with properties calculated at the GGA-PBE level.

Cell: 3.2845 3.2845 24.3044 Å, 90.00 90.00 120.00°
Space group R-3m (No. 166, hexagonal axes)
Asymmetric unit:
Cd 0.0000 0.0000 0.0000 [3 per cell]
Cu 0.0000 0.0000 0.2482 [6 per cell]
Sb 0.0000 0.0000 0.5000 [3 per cell]



The structure with the greatest stability is #w.



#w
Below is an optimized crystal structure of CdCu2Sb, with properties calculated at the GGA-PBE level.

Cell: 4.2423 4.2423 7.9558 Å, 90.00 90.00 90.00°
Space group I4/mmm (No. 139)
Asymmetric unit:
Cd 0.0000 0.0000 0.0000 [2 per cell]
Cu 0.0000 0.5000 0.2500 [4 per cell]
Sb 0.0000 0.0000 0.5000 [2 per cell]



#x
Below is an optimized crystal structure of CdCu2Sb, with properties calculated at the GGA-PBE level.

Cell: 2.9640 4.3708 11.7865 Å, 90.00 90.00 90.00°
Space group Imm2 (No. 44)
Asymmetric unit:
Cd 0.0000 0.0000 0.0000 [2 per cell]
Cu 0.0000 0.0000 0.5301 [2 per cell]
Cu 0.0000 0.5000 0.8446 [2 per cell]
Sb 0.0000 0.5000 0.2349 [2 per cell]



The structure with the greatest stability is #x.



#w
Below is an optimized crystal structure of CdCu2Sb, with properties calculated at the GGA-PBE level.

Cell: 4.3563 4.3563 17.2535 Å, 90.00 90.00 90.00°
Space group I-42d (No. 122)
Asymmetric unit:
Cd 0.0000 0.0000 0.0000 [4 per cell]
Cu 0.2056 0.2500 0.6250 [8 per cell]
Sb 0.0000 0.0000 0.5000 [4 per cell]



#x
Below is an optimized crystal structure of CdCu2Sb, with properties calculated at the GGA-PBE level.

Cell: 6.6167 6.6167 6.6167 Å, 90.00 90.00 90.00°
Space group Fm-3m (No. 225)
Asymmetric unit:
Cd 0.0000 0.0000 0.0000 [4 per cell]
Cu 0.2500 0.2500 0.2500 [8 per cell]
Sb 0.0000 0.0000 0.5000 [4 per cell]



The structure with the greatest stability is #x.



#w
Below is an optimized crystal structure of CdCu2Sb2, with properties calculated at the GGA-PBE level.

Cell: 8.1491 8.1491 3.1624 Å, 90.00 90.00 90.00°
Space group P4/mbm (No. 127)
Asymmetric unit:
Cd 0.0000 0.0000 0.0000 [2 per cell]
Cu 0.1123 0.3877 0.5000 [4 per cell]
Sb 0.1784 0.6784 0.0000 [4 per cell]



#x
Below is an optimized crystal structure of CdCu2Sb2, with properties calculated at the GGA-PBE level.

Cell: 4.3959 4.3959 11.5832 Å, 90.00 90.00 90.00°
Space group I4/mmm (No. 139)
Asymmetric unit:
Cd 0.0000 0.0000 0.0000 [2 per cell]
Cu 0.0000 0.5000 0.2500 [4 per cell]
Sb 0.0000 0.0000 0.3748 [4 per cell]



The structure with the greatest stability is #x.



#w
Below is an optimized crystal structure of Cd2CuSb2, with properties calculated at the GGA-PBE level.

Cell: 4.2480 4.2480 14.9851 Å, 90.00 90.00 90.00°
Space group I4/mmm (No. 139)
Asymmetric unit:
Cd 0.0000 0.0000 0.0902 [4 per cell]
Cu 0.0000 0.0000 0.5000 [2 per cell]
Sb 0.0000 0.5000 0.2500 [4 per cell]



#x
Below is an optimized crystal structure of Cd2CuSb2, with properties calculated at the GGA-PBE level.

Cell: 7.3676 7.3676 4.6327 Å, 90.00 90.00 90.00°
Space group P4/mbm (No. 127)
Asymmetric unit:
Cd 0.1441 0.3559 0.0000 [4 per cell]
Cu 0.0000 0.0000 0.5000 [2 per cell]
Sb 0.1743 0.6743 0.5000 [4 per cell]



The structure with the greatest stability is #x.